(1)
Below is Sr3ZnB2O6 after structural relaxation, with properties calculated at the PBE level.

The structure in POSCAR format:
```
Sr3ZnB2O6
1.0
-0.759 2.093 -4.780
-2.566 -4.390 1.394
-5.544 4.088 2.671
Sr Zn B O
3 1 2 6
Direct
0.333 0.667 0.702
0.667 0.333 0.298
0.000 0.000 0.000
0.000 0.000 0.500
0.667 0.333 0.701
0.333 0.667 0.299
0.639 0.820 0.311
0.180 0.361 0.311
0.180 0.820 0.311
0.820 0.639 0.689
0.361 0.180 0.689
0.820 0.180 0.689
```

Computed properties:
N(E_F) in states/eV/atom: 0.17
Total magnetization in μB per atom: 0.00
Formation energy without anion corrections in eV per atom: -2.23

(2)
Below is SrZn2B2O6 after structural relaxation, with properties calculated at the PBE level.

The structure in POSCAR format:
```
SrZn2B2O6
1.0
5.204 0.000 0.000
-2.602 4.507 0.000
0.000 0.000 6.543
Sr Zn B O
1 2 2 6
Direct
0.000 0.000 0.000
0.333 0.667 0.286
0.667 0.333 0.714
0.333 0.667 0.755
0.667 0.333 0.245
0.346 0.407 0.758
0.061 0.654 0.758
0.593 0.939 0.758
0.654 0.593 0.242
0.939 0.346 0.242
0.407 0.061 0.242
```

Computed properties:
N(E_F) in states/eV/atom: 0.00
Total magnetization in μB per atom: 0.00
Formation energy without anion corrections in eV per atom: -2.15

(3)
Below is SrZn2BO4 after structural relaxation, with properties calculated at the PBE level.

The structure in POSCAR format:
```
SrZn2BO4
1.0
5.369 0.224 0.000
-0.222 5.370 0.000
-2.574 -2.797 3.233
Sr Zn B O
1 2 1 4
Direct
0.000 0.000 0.000
0.750 0.250 0.500
0.250 0.750 0.500
0.500 0.500 0.000
0.530 0.530 0.732
0.470 0.799 0.268
0.799 0.470 0.268
0.202 0.202 0.732
```

Computed properties:
N(E_F) in states/eV/atom: 0.17
Total magnetization in μB per atom: 0.00
Formation energy without anion corrections in eV per atom: -1.78

(4)
Below is TaBO3 after structural relaxation, with properties calculated at the PBE level.

The structure in POSCAR format:
```
TaBO3
1.0
3.940 0.000 0.000
0.000 3.940 0.000
0.000 0.000 3.940
B O Ta
1 3 1
Direct
0.500 0.500 0.500
0.000 0.500 0.000
0.000 0.000 0.500
0.500 0.000 0.000
0.000 0.000 0.000
```

Computed properties:
N(E_F) in states/eV/atom: 0.00
Total magnetization in μB per atom: 0.00
Formation energy without anion corrections in eV per atom: -1.18

(5)
Below is TaBO3 after structural relaxation, with properties calculated at the PBE level.

The structure in POSCAR format:
```
TaBO3
1.0
-3.246 -0.738 0.619
0.928 -1.813 2.705
-0.258 2.763 1.940
B O Ta
1 3 1
Direct
0.000 0.000 0.000
0.000 0.500 0.000
0.000 0.000 0.500
0.500 0.000 0.000
0.500 0.500 0.500
```

Computed properties:
N(E_F) in states/eV/atom: 0.61
Total magnetization in μB per atom: 0.00
Formation energy without anion corrections in eV per atom: -0.84

(6)
Below is TaB2O after structural relaxation, with properties calculated at the PBE level.

The structure in POSCAR format:
```
TaB2O
1.0
-3.849 0.219 3.310
0.606 -4.939 1.032
0.381 -1.637 4.452
B O Ta
4 2 2
Direct
0.517 0.125 0.250
0.233 0.625 0.250
0.375 0.483 0.750
0.875 0.767 0.750
0.500 0.500 0.000
0.250 0.750 0.500
0.000 0.000 0.000
0.750 0.250 0.500
```

Computed properties:
N(E_F) in states/eV/atom: 0.44
Total magnetization in μB per atom: 0.00
Formation energy without anion corrections in eV per atom: 0.16